Record 1
Compound: OsPt2Br2
Source: the Alexandria database
Functional: GGA-PBE
Structure: relaxed

Results
The value obtained for the calculated density is 9.64 g/cm3. The raw total energy comes out at -4.069 eV per atom. The calculation puts the energy relative to the elements, uncorrected at 1262 meV per atom. As for the symmetry: I4/mmm (139). Its crystal system is tetragonal.

Lattice parameters (Å, degrees): 10.7371 10.7371 10.7371 161.28 161.28 26.60
Closest atoms and distances in Å follow each position.
Fractional coordinates of all 5 atoms:
Os 0.0000 0.0000 0.0000  8 Br 2.95
Pt 0.2500 0.7500 0.5000  4 Pt 2.47
Pt 0.7500 0.2500 0.5000  4 Pt 2.47
Br 0.4230 0.4230 0.0000  4 Os 2.95, 1 Br 3.22
Br 0.5770 0.5770 0.0000  4 Os 2.95, 1 Br 3.22

Record 2
Compound: Os2PtBr
Source: the Alexandria database
Functional: GGA-PBE
Structure: relaxed

Results
The value obtained for the calculated density is 12.97 g/cm3. The raw total energy comes out at -6.714 eV per atom. The calculation puts the energy relative to the elements, uncorrected at 829 meV per atom. As for the symmetry: C2/m (12). Its crystal system is monoclinic.

Lattice parameters (Å, degrees): 4.7494 4.7494 7.7152 121.50 121.50 35.19
Closest atoms and distances in Å follow each position.
Fractional coordinates of all 4 atoms:
Os 0.2107 0.2107 0.3451  2 Os 2.53, 3 Pt 2.63-2.75, 2 Br 2.69
Os 0.7893 0.7893 0.6549  2 Os 2.53, 3 Pt 2.63-2.75, 2 Br 2.69
Pt 0.0000 0.0000 0.5000  6 Os 2.63-2.75, 2 Pt 2.87
Br 0.5000 0.5000 0.0000  4 Os 2.69, 2 Br 2.87

Record 3
Compound: OsPtBr2
Source: the Alexandria database
Functional: GGA-PBE
Structure: relaxed

Results
The value obtained for the calculated density is 12.70 g/cm3. The raw total energy comes out at -3.734 eV per atom. The calculation puts the energy relative to the elements, uncorrected at 1420 meV per atom. As for the symmetry: Cmmm (65). Its crystal system is orthorhombic.

Lattice parameters (Å, degrees): 4.8229 4.8229 3.1080 90.00 90.00 99.64
Closest atoms and distances in Å follow each position.
Fractional coordinates of all 4 atoms:
Os 0.0000 0.0000 0.0000  8 Br 2.87, 2 Os 3.11, 2 Pt 3.11
Pt 0.5000 0.5000 0.0000  8 Br 2.87, 2 Pt 3.11, 2 Os 3.11
Br 0.0000 0.5000 0.5000  4 Pt 2.87, 4 Os 2.87, 4 Br 3.11
Br 0.5000 0.0000 0.5000  4 Pt 2.87, 4 Os 2.87, 4 Br 3.11

Record 4
Compound: OsPtBr2
Source: the Alexandria database
Functional: GGA-PBE
Structure: relaxed

Results
The value obtained for the calculated density is 10.87 g/cm3. The raw total energy comes out at -4.226 eV per atom. The calculation puts the energy relative to the elements, uncorrected at 928 meV per atom. As for the symmetry: Imm2 (44). Its crystal system is orthorhombic.

Lattice parameters (Å, degrees): 6.6018 6.6018 6.6018 153.91 138.64 49.56
Closest atoms and distances in Å follow each position.
Fractional coordinates of all 4 atoms:
Os 0.0000 0.0000 0.0000  6 Br 2.60-2.78, 2 Pt 2.64
Pt 0.1813 0.6813 0.5000  2 Os 2.64
Br 0.5187 0.5187 0.0000  4 Os 2.78, 2 Br 2.98, 2 Pt 3.04
Br 0.8224 0.3224 0.5000  2 Os 2.60

Record 5
Compound: OsPtBr2
Source: the Alexandria database
Functional: GGA-PBE
Structure: relaxed

Results
The value obtained for the calculated density is 10.89 g/cm3. The raw total energy comes out at -4.430 eV per atom. The calculation puts the energy relative to the elements, uncorrected at 724 meV per atom. As for the symmetry: Cmm2 (35). Its crystal system is orthorhombic.

Lattice parameters (Å, degrees): 3.1170 3.1170 10.3964 90.00 90.00 124.66
Closest atoms and distances in Å follow each position.
Fractional coordinates of all 4 atoms:
Os 0.0000 0.0000 0.0000  2 Br 2.53, 2 Pt 2.61
Pt 0.5000 0.5000 0.7907  2 Os 2.61, 2 Br 2.81, 2 Pt 2.90
Br 0.0000 0.0000 0.5588  2 Pt 2.81, 6 Br 2.90-3.12
Br 0.5000 0.5000 0.1998  2 Os 2.53

Record 6
Compound: OsPtBr2
Source: the Alexandria database
Functional: GGA-PBE
Structure: relaxed

Results
The value obtained for the calculated density is 12.67 g/cm3. The raw total energy comes out at -3.723 eV per atom. The calculation puts the energy relative to the elements, uncorrected at 1431 meV per atom. As for the symmetry: P4/mmm (123). Its crystal system is tetragonal.

Lattice parameters (Å, degrees): 4.6765 4.6765 3.2663 90.00 90.00 90.00
Closest atoms and distances in Å follow each position.
Fractional coordinates of all 4 atoms:
Os 0.0000 0.0000 0.0000  8 Br 2.85
Pt 0.5000 0.5000 0.0000  8 Br 2.85
Br 0.0000 0.5000 0.5000  4 Os 2.85, 4 Pt 2.85
Br 0.5000 0.0000 0.5000  4 Os 2.85, 4 Pt 2.85